1.
Below is crystalline LiHfPd5 at its relaxed geometry, with properties calculated at the PBE level.

abc: 4.073 4.073 6.765
angles: 90.00 90.00 90.00
Fractional coordinates of all 7 atoms:
Li 0.000 0.000 0.000
Hf 0.500 0.500 0.500
Pd 0.000 0.000 0.500
Pd 0.000 0.500 0.217
Pd 0.000 0.500 0.783
Pd 0.500 0.000 0.217
Pd 0.500 0.000 0.783

Properties
* magnetic moment: 0.0 μB per formula unit
* VASP energy: -5.903 eV per atom
* symmetry: P4/mmm (123)
* ΔE_f: -0.498 eV per atom

2.
Below is crystalline ZrSn2PdCl at its relaxed geometry, with properties calculated at the PBE level.

abc: 5.237 5.237 4.674
angles: 90.00 90.00 90.00
Fractional coordinates of all 5 atoms:
Zr 0.000 0.000 0.000
Sn 0.000 0.500 0.500
Sn 0.500 0.000 0.500
Pd 0.500 0.500 0.000
Cl 0.000 0.000 0.500

Properties
* energy relative to the elements, uncorrected: 0.48 eV per atom
* magnetic moment: 0.0 μB per formula unit
* VASP energy: -4.236 eV per atom
* symmetry: P4/mmm (123)

3.
Below is crystalline Ac2Zn5Ag3 at its relaxed geometry, with properties calculated at the PBE level.

abc: 9.077 9.077 9.077
angles: 107.04 86.59 140.03
Fractional coordinates of all 20 atoms:
Ac 0.128 0.230 0.358
Ac 0.372 0.730 0.102
Ac 0.628 0.270 0.898
Ac 0.872 0.770 0.642
Zn 0.035 0.750 0.285
Zn 0.115 0.649 0.764
Zn 0.250 0.250 0.000
Zn 0.385 0.149 0.534
Zn 0.465 0.750 0.715
Zn 0.535 0.250 0.285
Zn 0.615 0.851 0.466
Zn 0.750 0.750 0.000
Zn 0.885 0.351 0.236
Zn 0.965 0.250 0.715
Ag 0.141 0.893 0.035
Ag 0.250 0.750 0.500
Ag 0.359 0.393 0.752
Ag 0.641 0.607 0.248
Ag 0.750 0.250 0.500
Ag 0.859 0.107 0.965

Properties
* magnetic moment: 0.0 μB per formula unit
* VASP energy: -2.571 eV per atom
* symmetry: Ibam (72)
* ΔE_f: -0.257 eV per atom

4.
Below is crystalline LiThGa2 at its relaxed geometry, with properties calculated at the PBE level.

abc: 7.671 4.183 10.625
angles: 90.00 90.00 90.00
Fractional coordinates of all 16 atoms:
Li 0.013 0.250 0.105
Li 0.487 0.750 0.605
Li 0.513 0.250 0.395
Li 0.987 0.750 0.895
Th 0.145 0.750 0.366
Th 0.355 0.250 0.866
Th 0.645 0.750 0.134
Th 0.855 0.250 0.634
Ga 0.151 0.750 0.681
Ga 0.237 0.750 0.066
Ga 0.263 0.250 0.566
Ga 0.349 0.250 0.181
Ga 0.651 0.750 0.819
Ga 0.737 0.750 0.434
Ga 0.763 0.250 0.934
Ga 0.849 0.250 0.319

Properties
* magnetic moment: 0.0 μB per formula unit
* VASP energy: -4.296 eV per atom
* symmetry: Pnma (62)
* ΔE_f: -0.450 eV per atom

5.
Below is crystalline La3NdHoTm at its relaxed geometry, with properties calculated at the PBE level.

abc: 8.089 5.217 10.411
angles: 90.00 108.86 90.00
Fractional coordinates of all 12 atoms:
La 0.171 0.250 0.042
La 0.171 0.250 0.543
La 0.173 0.750 0.294
La 0.827 0.250 0.706
La 0.829 0.750 0.457
La 0.829 0.750 0.958
Nd 0.171 0.750 0.792
Nd 0.829 0.250 0.208
Ho 0.500 0.250 0.876
Ho 0.500 0.750 0.124
Tm 0.498 0.750 0.626
Tm 0.502 0.250 0.374

Properties
* magnetic moment: 0.0 μB per formula unit
* VASP energy: -4.734 eV per atom
* symmetry: P2_1/m (11)
* ΔE_f: 0.033 eV per atom

6.
Below is crystalline Mg4In2Ge at its relaxed geometry, with properties calculated at the PBE level.

abc: 5.010 5.010 15.326
angles: 90.00 90.00 90.00
Fractional coordinates of all 14 atoms:
Mg 0.000 0.000 0.175
Mg 0.000 0.000 0.825
Mg 0.000 0.500 0.000
Mg 0.000 0.500 0.500
Mg 0.500 0.000 0.000
Mg 0.500 0.000 0.500
Mg 0.500 0.500 0.325
Mg 0.500 0.500 0.675
In 0.000 0.000 0.364
In 0.000 0.000 0.636
In 0.500 0.500 0.136
In 0.500 0.500 0.864
Ge 0.000 0.000 0.000
Ge 0.500 0.500 0.500

Properties
* magnetic moment: 0.0 μB per formula unit
* VASP energy: -2.200 eV per atom
* symmetry: I4/mmm (139)
* ΔE_f: 0.153 eV per atom

7.
Below is crystalline MnVH2 at its relaxed geometry, with properties calculated at the PBE level.

abc: 4.890 4.890 4.890
angles: 90.00 90.00 90.00
Fractional coordinates of all 16 atoms:
Mn 0.000 0.000 0.000
Mn 0.000 0.500 0.500
Mn 0.500 0.000 0.500
Mn 0.500 0.500 0.000
V 0.000 0.000 0.500
V 0.000 0.500 0.000
V 0.500 0.000 0.000
V 0.500 0.500 0.500
H 0.250 0.250 0.250
H 0.250 0.250 0.750
H 0.250 0.750 0.250
H 0.250 0.750 0.750
H 0.750 0.250 0.250
H 0.750 0.250 0.750
H 0.750 0.750 0.250
H 0.750 0.750 0.750

Properties
* magnetic moment: 0.2 μB per formula unit
* VASP energy: -5.847 eV per atom
* symmetry: Fm-3m (225)

8.
Below is crystalline V4Fe2Co3 at its relaxed geometry, with properties calculated at the PBE level.

abc: 4.043 4.043 7.478
angles: 90.00 90.00 120.00
Fractional coordinates of all 9 atoms:
V 0.000 0.000 0.158
V 0.000 0.000 0.842
V 0.333 0.667 0.389
V 0.667 0.333 0.611
Fe 0.333 0.667 0.715
Fe 0.667 0.333 0.285
Co 0.000 0.000 0.500
Co 0.333 0.667 0.075
Co 0.667 0.333 0.925

Properties
* magnetic moment: 3.8 μB per formula unit
* VASP energy: -8.377 eV per atom
* symmetry: P-3m1 (164)
* ΔE_f: -0.075 eV per atom

9.
Below is crystalline SiAg2Pt at its relaxed geometry, with properties calculated at the PBE level.

abc: 2.827 4.891 9.624
angles: 90.00 90.00 90.00
Fractional coordinates of all 8 atoms:
Si 0.000 0.000 0.000
Si 0.500 0.500 0.000
Ag 0.000 0.500 0.245
Ag 0.000 0.500 0.755
Ag 0.500 0.000 0.245
Ag 0.500 0.000 0.755
Pt 0.000 0.000 0.500
Pt 0.500 0.500 0.500

Properties
* energy relative to the elements, uncorrected: 0.19 eV per atom
* magnetic moment: 0.0 μB per formula unit
* VASP energy: -4.100 eV per atom
* symmetry: Cmmm (65)

10.
Below is crystalline NdTh2RuN4 at its relaxed geometry, with properties calculated at the PBE level.

abc: 6.330 6.330 11.917
angles: 90.00 90.00 147.82
Fractional coordinates of all 16 atoms:
Nd 0.113 0.887 0.750
Nd 0.887 0.113 0.250
Th 0.369 0.631 0.554
Th 0.369 0.631 0.946
Th 0.631 0.369 0.054
Th 0.631 0.369 0.446
Ru 0.148 0.852 0.250
Ru 0.852 0.148 0.750
N 0.000 0.000 0.000
N 0.000 0.000 0.500
N 0.274 0.726 0.124
N 0.274 0.726 0.376
N 0.457 0.543 0.750
N 0.543 0.457 0.250
N 0.726 0.274 0.624
N 0.726 0.274 0.876

Properties
* energy relative to the elements, uncorrected: -1.07 eV per atom
* magnetic moment: 0.0 μB per formula unit
* VASP energy: -8.842 eV per atom
* symmetry: Cmcm (63)

11.
Below is crystalline MgAg3 at its relaxed geometry, with properties calculated at the PBE level.

abc: 4.637 4.637 8.322
angles: 90.00 90.00 120.00
Fractional coordinates of all 8 atoms:
Mg 0.333 0.667 0.250
Mg 0.667 0.333 0.750
Ag 0.000 0.000 0.250
Ag 0.000 0.000 0.750
Ag 0.333 0.667 0.582
Ag 0.333 0.667 0.918
Ag 0.667 0.333 0.082
Ag 0.667 0.333 0.418

Properties
* magnetic moment: 0.0 μB per formula unit
* VASP energy: -2.512 eV per atom
* symmetry: P6_3/mmc (194)
* ΔE_f: 0.026 eV per atom